First-principles (PBE-GGA) data for an optimized crystal structure of Cu4Bi2S5, as listed in Alexandria via LeMat-Bulk.

The structure in CIF format:
```
data_Cu4Bi2S5
_cell_length_a 3.7769
_cell_length_b 3.7769
_cell_length_c 52.4749
_cell_angle_alpha 90.00
_cell_angle_beta 90.00
_cell_angle_gamma 120.00
_symmetry_space_group_name_H-M 'R -3 m'
_symmetry_Int_Tables_number 166
_symmetry_space_group_name_Hall '-R 3 2"'
loop_
_atom_site_label
_atom_site_type_symbol
_atom_site_fract_x
_atom_site_fract_y
_atom_site_fract_z
_atom_site_occupancy
Cu1 Cu 0.0000 0.0000 0.0941 1
Cu2 Cu 0.0000 0.0000 0.1852 1
Bi1 Bi 0.0000 0.0000 0.3716 1
S1 S 0.0000 0.0000 0.0000 1
S2 S 0.0000 0.0000 0.1369 1
S3 S 0.0000 0.0000 0.2567 1
```

- Raw total energy: -139.378 eV/cell
- Formation energy from raw total energies: -14.7 kJ/mol of atoms
- Total moment: 0.00 μB per formula unit